A plane-wave DFT calculation with PBE was carried out for an optimized crystal structure of BiAu3F.

Computed properties:
- Energy relative to the lowest polymorph listed for this composition: 248 meV/atom
- Total magnetic moment: 0.55 μB/cell
- Calculated total energy: -13.29 eV/f.u.
- E_form (uncorrected): 0.46 eV per atom

a = 5.379 Å, b = 5.379 Å, c = 5.379 Å
α = 90.00°, β = 90.00°, γ = 90.00°
Element x y z (fractional)
Bi (0.000, 0.000, 0.000)
Au (0.000, 0.000, 0.500)
Au (0.000, 0.500, 0.000)
Au (0.500, 0.000, 0.000)
F (0.500, 0.500, 0.500)

=====

A plane-wave DFT calculation with PBE was carried out for an optimized crystal structure of Bi2AuF.

Computed properties:
- Energy relative to the lowest polymorph listed for this composition: 24 meV/atom
- Total magnetic moment: 0.00 μB/cell
- Calculated total energy: -15.57 eV/f.u.
- E_form (uncorrected): -0.66 eV per atom

a = 4.934 Å, b = 4.934 Å, c = 4.934 Å
α = 60.00°, β = 60.00°, γ = 60.00°
Element x y z (fractional)
Bi (0.250, 0.250, 0.250)
Bi (0.750, 0.750, 0.750)
Au (0.000, 0.000, 0.000)
F (0.500, 0.500, 0.500)

=====

A plane-wave DFT calculation with PBE was carried out for an optimized crystal structure of BiAuF3.

Computed properties:
- Energy relative to the lowest polymorph listed for this composition: 696 meV/atom
- Total magnetic moment: 0.00 μB/cell
- Calculated total energy: -16.16 eV/f.u.
- E_form (uncorrected): -0.68 eV per atom

a = 4.496 Å, b = 4.496 Å, c = 4.496 Å
α = 90.00°, β = 90.00°, γ = 90.00°
Element x y z (fractional)
Bi (0.000, 0.000, 0.000)
Au (0.500, 0.500, 0.500)
F (0.000, 0.500, 0.500)
F (0.500, 0.000, 0.500)
F (0.500, 0.500, 0.000)

=====

A plane-wave DFT calculation with PBE was carried out for an optimized crystal structure of Bi2Au2F.

Computed properties:
- Total magnetic moment: 0.00 μB/cell
- Calculated total energy: -18.52 eV/f.u.
- E_form (uncorrected): -0.47 eV per atom

a = 7.186 Å, b = 7.186 Å, c = 4.440 Å
α = 90.00°, β = 90.00°, γ = 90.00°
Element x y z (fractional)
Bi (0.178, 0.322, 0.000)
Bi (0.322, 0.822, 0.000)
Bi (0.678, 0.178, 0.000)
Bi (0.822, 0.678, 0.000)
Au (0.140, 0.640, 0.500)
Au (0.360, 0.140, 0.500)
Au (0.640, 0.860, 0.500)
Au (0.860, 0.360, 0.500)
F (0.000, 0.000, 0.000)
F (0.500, 0.500, 0.000)

=====

A plane-wave DFT calculation with PBE was carried out for an optimized crystal structure of BiAuF.

Computed properties:
- Total magnetic moment: 0.00 μB/cell
- Calculated total energy: -11.44 eV/f.u.
- E_form (uncorrected): -0.80 eV per atom

a = 4.525 Å, b = 5.593 Å, c = 5.626 Å
α = 103.56°, β = 100.43°, γ = 97.85°
Element x y z (fractional)
Bi (0.000, 0.000, 0.000)
Bi (0.159, 0.397, 0.615)
Au (0.178, 0.565, 0.163)
Au (0.400, 0.941, 0.641)
F (0.693, 0.520, 0.681)
F (0.736, 0.092, 0.337)

=====

A plane-wave DFT calculation with PBE was carried out for an optimized crystal structure of Bi2AuF.

Computed properties:
- Energy relative to the lowest polymorph listed for this composition: 181 meV/atom
- Total magnetic moment: 0.00 μB/cell
- Calculated total energy: -14.94 eV/f.u.
- E_form (uncorrected): -0.51 eV per atom

a = 9.016 Å, b = 9.016 Å, c = 9.016 Å
α = 147.70°, β = 147.70°, γ = 46.33°
Element x y z (fractional)
Bi (0.070, 0.625, 0.945)
Bi (0.375, 0.320, 0.445)
Bi (0.680, 0.125, 0.055)
Bi (0.875, 0.930, 0.555)
Au (0.250, 0.750, 0.500)
Au (0.500, 0.500, 0.000)
F (0.000, 0.000, 0.000)
F (0.750, 0.250, 0.500)

=====

A plane-wave DFT calculation with PBE was carried out for an optimized crystal structure of Bi3AuF.

Computed properties:
- Energy relative to the lowest polymorph listed for this composition: 315 meV/atom
- Total magnetic moment: 0.00 μB/cell
- Calculated total energy: -15.64 eV/f.u.
- E_form (uncorrected): 0.23 eV per atom

a = 5.567 Å, b = 5.567 Å, c = 5.567 Å
α = 90.00°, β = 90.00°, γ = 90.00°
Element x y z (fractional)
Bi (0.000, 0.000, 0.500)
Bi (0.000, 0.500, 0.000)
Bi (0.500, 0.000, 0.000)
Au (0.000, 0.000, 0.000)
F (0.500, 0.500, 0.500)

=====

A plane-wave DFT calculation with PBE was carried out for an optimized crystal structure of Bi2Au5F21.

Computed properties:
- Total magnetic moment: 0.00 μB/cell
- Calculated total energy: -103.47 eV/f.u.
- E_form (uncorrected): -1.43 eV per atom

a = 8.392 Å, b = 8.392 Å, c = 26.146 Å
α = 90.00°, β = 90.00°, γ = 90.00°
Element x y z (fractional)
Bi (0.055, 0.428, 0.499)
Bi (0.072, 0.555, 0.749)
Bi (0.428, 0.055, 0.501)
Bi (0.445, 0.928, 0.751)
Bi (0.555, 0.072, 0.251)
Bi (0.572, 0.945, 0.001)
Bi (0.928, 0.445, 0.249)
Bi (0.945, 0.572, 0.999)
Au (0.061, 0.061, 0.000)
Au (0.100, 0.140, 0.843)
Au (0.140, 0.100, 0.157)
Au (0.173, 0.210, 0.640)
Au (0.210, 0.173, 0.360)
Au (0.290, 0.673, 0.890)
Au (0.327, 0.710, 0.610)
Au (0.360, 0.600, 0.093)
Au (0.400, 0.640, 0.407)
Au (0.439, 0.561, 0.250)
Au (0.561, 0.439, 0.750)
Au (0.600, 0.360, 0.907)
Au (0.640, 0.400, 0.593)
Au (0.673, 0.290, 0.110)
Au (0.710, 0.327, 0.390)
Au (0.790, 0.827, 0.860)
Au (0.827, 0.790, 0.140)
Au (0.860, 0.900, 0.657)
Au (0.900, 0.860, 0.343)
Au (0.939, 0.939, 0.500)
F (0.025, 0.852, 0.607)
F (0.042, 0.304, 0.792)
F (0.042, 0.330, 0.689)
F (0.063, 0.294, 0.001)
F (0.065, 0.329, 0.585)
F (0.066, 0.825, 0.998)
F (0.085, 0.296, 0.410)
F (0.090, 0.268, 0.303)
F (0.092, 0.299, 0.196)
F (0.095, 0.818, 0.380)
F (0.148, 0.975, 0.893)
F (0.170, 0.542, 0.939)
F (0.171, 0.565, 0.835)
F (0.175, 0.934, 0.502)
F (0.182, 0.905, 0.120)
F (0.196, 0.542, 0.042)
F (0.201, 0.592, 0.446)
F (0.204, 0.585, 0.660)
F (0.206, 0.563, 0.251)
F (0.218, 0.782, 0.750)
F (0.232, 0.590, 0.553)
F (0.268, 0.090, 0.697)
F (0.282, 0.282, 0.500)
F (0.294, 0.063, 0.999)
F (0.296, 0.085, 0.590)
F (0.299, 0.092, 0.804)
F (0.304, 0.042, 0.208)
F (0.318, 0.405, 0.130)
F (0.325, 0.434, 0.748)
F (0.329, 0.065, 0.415)
F (0.330, 0.042, 0.311)
F (0.352, 0.475, 0.357)
F (0.405, 0.318, 0.870)
F (0.408, 0.799, 0.054)
F (0.410, 0.768, 0.947)
F (0.415, 0.796, 0.840)
F (0.434, 0.325, 0.252)
F (0.435, 0.829, 0.665)
F (0.437, 0.794, 0.249)
F (0.458, 0.804, 0.458)
F (0.458, 0.830, 0.561)
F (0.475, 0.352, 0.643)
F (0.525, 0.648, 0.143)
F (0.542, 0.170, 0.061)
F (0.542, 0.196, 0.958)
F (0.563, 0.206, 0.749)
F (0.565, 0.171, 0.165)
F (0.566, 0.675, 0.752)
F (0.585, 0.204, 0.340)
F (0.590, 0.232, 0.447)
F (0.592, 0.201, 0.554)
F (0.595, 0.682, 0.370)
F (0.648, 0.525, 0.857)
F (0.670, 0.958, 0.811)
F (0.671, 0.935, 0.915)
F (0.675, 0.566, 0.248)
F (0.682, 0.595, 0.630)
F (0.696, 0.958, 0.708)
F (0.701, 0.908, 0.304)
F (0.704, 0.915, 0.090)
F (0.706, 0.937, 0.499)
F (0.718, 0.718, 0.000)
F (0.732, 0.910, 0.197)
F (0.768, 0.410, 0.053)
F (0.782, 0.218, 0.250)
F (0.794, 0.437, 0.751)
F (0.796, 0.415, 0.160)
F (0.799, 0.408, 0.946)
F (0.804, 0.458, 0.542)
F (0.818, 0.095, 0.620)
F (0.825, 0.066, 0.002)
F (0.829, 0.435, 0.335)
F (0.830, 0.458, 0.439)
F (0.852, 0.025, 0.393)
F (0.905, 0.182, 0.880)
F (0.908, 0.701, 0.696)
F (0.910, 0.732, 0.803)
F (0.915, 0.704, 0.910)
F (0.934, 0.175, 0.498)
F (0.935, 0.671, 0.085)
F (0.937, 0.706, 0.501)
F (0.958, 0.670, 0.189)
F (0.958, 0.696, 0.292)
F (0.975, 0.148, 0.107)

=====

A plane-wave DFT calculation with PBE was carried out for an optimized crystal structure of Bi2AuF.

Computed properties:
- Energy relative to the lowest polymorph listed for this composition: 0 meV/atom
- Total magnetic moment: 0.00 μB/cell
- Calculated total energy: -15.66 eV/f.u.
- E_form (uncorrected): -0.69 eV per atom

a = 7.629 Å, b = 7.629 Å, c = 7.629 Å
α = 34.83°, β = 34.83°, γ = 34.83°
Element x y z (fractional)
Bi (0.109, 0.109, 0.109)
Bi (0.891, 0.891, 0.891)
Au (0.500, 0.500, 0.500)
F (0.000, 0.000, 0.000)

=====

A plane-wave DFT calculation with PBE was carried out for an optimized crystal structure of BiAuF3.

Computed properties:
- Energy relative to the lowest polymorph listed for this composition: 0 meV/atom
- Total magnetic moment: 0.00 μB/cell
- Calculated total energy: -19.64 eV/f.u.
- E_form (uncorrected): -1.37 eV per atom

a = 4.599 Å, b = 4.599 Å, c = 4.599 Å
α = 90.00°, β = 90.00°, γ = 90.00°
Element x y z (fractional)
Bi (0.000, 0.000, 0.000)
Au (0.500, 0.500, 0.500)
F (0.000, 0.000, 0.500)
F (0.000, 0.500, 0.000)
F (0.500, 0.000, 0.000)

=====

A plane-wave DFT calculation with PBE was carried out for an optimized crystal structure of BiAu3F.

Computed properties:
- Energy relative to the lowest polymorph listed for this composition: 0 meV/atom
- Total magnetic moment: 0.00 μB/cell
- Calculated total energy: -14.54 eV/f.u.
- E_form (uncorrected): 0.21 eV per atom

a = 4.717 Å, b = 4.717 Å, c = 4.717 Å
α = 90.00°, β = 90.00°, γ = 90.00°
Element x y z (fractional)
Bi (0.000, 0.000, 0.000)
Au (0.000, 0.500, 0.500)
Au (0.500, 0.000, 0.500)
Au (0.500, 0.500, 0.000)
F (0.500, 0.500, 0.500)

=====

A plane-wave DFT calculation with PBE was carried out for an optimized crystal structure of BiAu2F8.

Computed properties:
- Total magnetic moment: 0.00 μB/cell
- Calculated total energy: -39.89 eV/f.u.
- E_form (uncorrected): -1.32 eV per atom

a = 7.152 Å, b = 7.152 Å, c = 4.257 Å
α = 90.00°, β = 90.00°, γ = 120.00°
Element x y z (fractional)
Bi (0.000, 0.000, 0.000)
Au (0.333, 0.667, 0.739)
Au (0.667, 0.333, 0.261)
F (0.153, 0.307, 0.743)
F (0.154, 0.847, 0.743)
F (0.307, 0.154, 0.257)
F (0.333, 0.667, 0.240)
F (0.667, 0.333, 0.760)
F (0.693, 0.846, 0.743)
F (0.846, 0.153, 0.257)
F (0.847, 0.693, 0.257)